# 1
VASP calculation (PBE-GGA) on LiPbI2 after structural relaxation.

Unit cell a=4.1214 b=4.1214 c=28.8415 alpha=90.00 beta=90.00 gamma=120.00
Space group R-3m (No. 166, hexagonal axes)
Inequivalent atoms, fractional coordinates:
Li: 0.0000 0.0000 0.0000 (multiplicity 3)
Pb: 0.0000 0.0000 0.5000 (multiplicity 3)
I: 0.0000 0.0000 0.3917 (multiplicity 6)

Properties
The value obtained for the formation energy (no corrections) is -0.601 eV/atom. The calculation puts the density of states at the Fermi level at 5.688 states/eV/cell. Its energy above the most stable polymorph in this dataset is 0.000 eV/atom. As for the spin magnetization: 0.000 μB/atom.



# 2
VASP calculation (PBE-GGA) on RbInH2F after structural relaxation.

Unit cell a=4.209 b=4.209 c=4.952 alpha=90.00 beta=90.00 gamma=90.00
Space group P4/mmm (No. 123)
Inequivalent atoms, fractional coordinates:
Rb: 0.000 0.000 0.000 (multiplicity 1)
In: 0.500 0.500 0.500 (multiplicity 1)
H: 0.000 0.500 0.500 (multiplicity 2)
F: 0.500 0.500 0.000 (multiplicity 1)

Properties
The calculation puts the density of states at the Fermi level at 0.777 states/eV/cell. The value obtained for the raw total energy is -3.2775 eV per atom. As for the spin magnetization: 0.000 μB/atom.



# 3
VASP calculation (PBE-GGA) on Pr3Er2Mg after structural relaxation.

Unit cell a=3.656 b=3.656 c=14.506 alpha=90.00 beta=90.00 gamma=90.00
Space group P4/mmm (No. 123)
Inequivalent atoms, fractional coordinates:
Pr: 0.000 0.000 0.000 (multiplicity 1)
Pr: 0.000 0.000 0.345 (multiplicity 2)
Er: 0.500 0.500 0.172 (multiplicity 2)
Mg: 0.500 0.500 0.500 (multiplicity 1)

Properties
The calculation puts the density of states at the Fermi level at 8.165 states/eV/cell. Its energy above the most stable polymorph in this dataset is 0.000 eV/atom. As for the energy of formation: -13 meV per atom. As for the spin magnetization: 0.000 μB/atom.



# 4
VASP calculation (PBE-GGA) on NaBiAsP2 after structural relaxation.

Unit cell a=4.854 b=4.854 c=5.618 alpha=90.00 beta=90.00 gamma=90.00
Space group P4/mmm (No. 123)
Inequivalent atoms, fractional coordinates:
Na: 0.000 0.000 0.000 (multiplicity 1)
Bi: 0.500 0.500 0.000 (multiplicity 1)
As: 0.500 0.500 0.500 (multiplicity 1)
P: 0.000 0.500 0.500 (multiplicity 2)

Properties
The calculation puts the density of states at the Fermi level at 4.646 states/eV/cell. As for the energy of formation: 594 meV per atom. As for the spin magnetization: 0.000 μB/atom.



# 5
VASP calculation (PBE-GGA) on TbHf3Fe8 after structural relaxation.

Unit cell a=4.9832 b=4.9832 c=24.4992 alpha=90.00 beta=90.00 gamma=120.00
Space group R3m (No. 160, hexagonal axes)
Inequivalent atoms, fractional coordinates:
Tb: 0.0000 0.0000 0.0000 (multiplicity 3)
Hf: 0.0000 0.0000 0.3766 (multiplicity 3)
Hf: 0.0000 0.0000 0.5000 (multiplicity 3)
Hf: 0.0000 0.0000 0.8738 (multiplicity 3)
Fe: 0.0000 0.0000 0.1875 (multiplicity 3)
Fe: 0.0000 0.0000 0.6877 (multiplicity 3)
Fe: 0.0024 0.5012 0.4392 (multiplicity 9)
Fe: 0.1673 0.3346 0.2688 (multiplicity 9)

Properties
The calculation puts the density of states at the Fermi level at 19.460 states/eV/cell. As for the energy of formation: -258 meV per atom. As for the spin magnetization: 1.074 μB/atom.



# 6
VASP calculation (PBE-GGA) on Pm3Zn2GaPt9 after structural relaxation.

Unit cell a=7.5382 b=7.5382 c=6.2854 alpha=90.00 beta=90.00 gamma=120.00
Space group P-3m1 (No. 164)
Inequivalent atoms, fractional coordinates:
Pm: 0.0000 0.0000 0.0000 (multiplicity 1)
Pm: 0.3333 0.6667 0.6684 (multiplicity 2)
Zn: 0.3333 0.6667 0.1674 (multiplicity 2)
Ga: 0.0000 0.0000 0.5000 (multiplicity 1)
Pt: 0.0000 0.5000 0.0000 (multiplicity 3)
Pt: 0.1658 0.3317 0.3313 (multiplicity 6)

Properties
The calculation puts the density of states at the Fermi level at 8.957 states/eV/cell. As for the energy of formation: -469 meV per atom. As for the spin magnetization: 0.000 μB/atom.



# 7
VASP calculation (PBE-GGA) on Li4Si6Pt7 after structural relaxation.

Unit cell a=7.960 b=7.960 c=7.960 alpha=90.00 beta=90.00 gamma=90.00
Space group Im-3m (No. 229)
Inequivalent atoms, fractional coordinates:
Li: 0.250 0.250 0.250 (multiplicity 8)
Si: 0.000 0.000 0.312 (multiplicity 12)
Pt: 0.000 0.000 0.000 (multiplicity 2)
Pt: 0.000 0.250 0.500 (multiplicity 12)

Properties
The value obtained for the formation energy (no corrections) is -0.778 eV/atom. The calculation puts the density of states at the Fermi level at 12.148 states/eV/cell. As for the spin magnetization: 0.000 μB/atom.



# 8
VASP calculation (PBE-GGA) on Ba6Na3Ag after structural relaxation.

Unit cell a=11.597 b=6.098 c=14.696 alpha=90.00 beta=105.07 gamma=90.00
Space group P2_1/m (No. 11)
Inequivalent atoms, fractional coordinates:
Ba: 0.015 0.250 0.371 (multiplicity 2)
Ba: 0.246 0.750 0.207 (multiplicity 2)
Ba: 0.324 0.250 0.045 (multiplicity 2)
Ba: 0.328 0.250 0.663 (multiplicity 2)
Ba: 0.336 0.750 0.860 (multiplicity 2)
Ba: 0.427 0.250 0.387 (multiplicity 2)
Na: 0.015 0.750 0.927 (multiplicity 2)
Na: 0.088 0.250 0.810 (multiplicity 2)
Na: 0.235 0.750 0.476 (multiplicity 2)
Ag: 0.488 0.750 0.107 (multiplicity 2)

Properties
The calculation puts the density of states at the Fermi level at 20.433 states/eV/cell. Its energy above the most stable polymorph in this dataset is 0.000 eV/atom. As for the energy of formation: -19 meV per atom. As for the spin magnetization: 0.000 μB/atom.



Q: spin magnetization of number 1 (LiPbI2)?
A: 0.000 μB/atom